Material: Nb2BiS6
Method: DFT, PBE
State: optimized geometry

abc: 4.844 6.340 8.262
angles: 69.59 72.95 67.54
Fractional coordinates of all 9 atoms:
Nb 0.807 0.305 0.080
Nb 0.193 0.695 0.920
S 0.014 0.151 0.820
S 0.346 0.693 0.615
S 0.986 0.849 0.180
S 0.696 0.713 0.894
S 0.654 0.307 0.385
S 0.304 0.287 0.106
Bi 0.000 0.500 0.500

Output
E in Ry/atom: -0.44398
Total magnetic moment in μB per atom: 0.00
Density of states at the Fermi level in states/eV/cell: 1.2